# SmTh2S3, optimized geometry, DFT PBE
data_SmTh2S3
_cell_length_a 5.704
_cell_length_b 12.190
_cell_length_c 7.994
_cell_angle_alpha 90.00
_cell_angle_beta 90.00
_cell_angle_gamma 90.00
_symmetry_space_group_name_H-M 'P 1 21/c 1'
_symmetry_Int_Tables_number 14
loop_
_symmetry_equiv_pos_as_xyz
'x,y,z'
'-x,-y,-z'
'-x,y+1/2,-z+1/2'
'x,-y+1/2,z+1/2'
loop_
_atom_site_label
_atom_site_type_symbol
_atom_site_fract_x
_atom_site_fract_y
_atom_site_fract_z
_atom_site_occupancy
Sm1 Sm 0.250 0.083 0.126 1
Th1 Th 0.250 0.083 0.624 1
Th2 Th 0.251 0.750 0.124 1
S1 S 0.249 0.249 0.875 1
S2 S 0.250 0.582 0.376 1
S3 S 0.250 0.583 0.872 1
# - Size of the total moment: 0.00 μB/cell
# - E_form (uncorrected): -1.8953 eV/atom
# - Calculated total energy: -0.265 hartree per atom

---

# MnAl3Zn, optimized geometry, DFT PBE
data_MnAl3Zn
_cell_length_a 6.938
_cell_length_b 4.446
_cell_length_c 5.353
_cell_angle_alpha 90.00
_cell_angle_beta 90.16
_cell_angle_gamma 90.00
_symmetry_space_group_name_H-M 'P 1 2/c 1'
_symmetry_Int_Tables_number 13
loop_
_symmetry_equiv_pos_as_xyz
'x,y,z'
'-x,-y,-z'
'-x,y,-z+1/2'
'x,-y,z+1/2'
loop_
_atom_site_label
_atom_site_type_symbol
_atom_site_fract_x
_atom_site_fract_y
_atom_site_fract_z
_atom_site_occupancy
Mn1 Mn 0.000 0.000 0.000 1
Al1 Al 0.000 0.489 0.250 1
Al2 Al 0.303 0.080 0.751 1
Zn1 Zn 0.500 0.411 0.250 1
# - Size of the total moment: 3.98 μB/cell
# - Calculated total energy: -0.160 hartree per atom